Compound: CsMnMo2Pb
Source: Alexandria via LeMat-Bulk
Functional: GGA-PBE
Structure: optimized geometry

abc: 5.034 5.034 6.020
angles: 90.00 90.00 90.00
Atoms (fractional coordinates):
Cs  0.000  0.000  0.000
Mn  0.500  0.500  0.500
Mo  0.000  0.500  0.000
Mo  0.500  0.000  0.000
Pb  0.000  0.000  0.500

Properties
DOS at the Fermi energy, states/eV per atom: 0.980
Magnetic moment, Bohr magnetons per cell: 7.7
Energy relative to the elements, meV/atom: 3035